GaSb3Pt12: optimized geometry, PBE.

Structure (CIF):
```
data_GaSb3Pt12
_chemical_formula_sum 'Ga1 Sb3 Pt12'
_symmetry_space_group_name_H-M 'P 4/m m m'
_symmetry_Int_Tables_number 123
_symmetry_space_group_name_Hall '-P 4 2'
_cell_length_a 4.054
_cell_length_b 4.054
_cell_length_c 16.215
_cell_angle_alpha 90.00
_cell_angle_beta 90.00
_cell_angle_gamma 90.00
loop_
_atom_site_label
_atom_site_type_symbol
_atom_site_fract_x
_atom_site_fract_y
_atom_site_fract_z
_atom_site_occupancy
Ga1 Ga 0.000 0.000 0.000 1
Sb1 Sb 0.000 0.000 0.241 1
Sb2 Sb 0.000 0.000 0.500 1
Pt1 Pt 0.000 0.500 0.118 1
Pt2 Pt 0.000 0.500 0.372 1
Pt3 Pt 0.500 0.500 0.000 1
Pt4 Pt 0.500 0.500 0.247 1
Pt5 Pt 0.500 0.500 0.500 1
```

Calculated values
Formation energy (no corrections) ... -0.231 eV/atom
VASP energy ... -0.210 hartree per atom